# Np4Ga12Sn | Alexandria | PBE | relaxed
# Magnetization: 33.8 μB/cell
# Formation energy from the elements: -134 meV/atom
# Density: 9303 kg/m³
# Energy: -188.72 eV for the cell shown
data_Np4Ga12Sn
_chemical_formula_sum 'Np8 Ga24 Sn2'
_symmetry_space_group_name_H-M 'I m -3 m'
_symmetry_Int_Tables_number 229
_symmetry_space_group_name_Hall '-I 4 2 3'
_cell_length_a 8.792
_cell_length_b 8.792
_cell_length_c 8.792
_cell_angle_alpha 90.00
_cell_angle_beta 90.00
_cell_angle_gamma 90.00
loop_
_atom_site_label
_atom_site_type_symbol
_atom_site_fract_x
_atom_site_fract_y
_atom_site_fract_z
Np1 Np 0.250 0.250 0.250
Ga1 Ga 0.000 0.000 0.316
Ga2 Ga 0.000 0.250 0.500
Sn1 Sn 0.000 0.000 0.000

=====

# Np2Ga9Sn | Alexandria | PBE | relaxed
# Magnetization: 8.2 μB/cell
# Formation energy from the elements: -78 meV/atom
# Density: 8453 kg/m³
# Energy: -58.06 eV for the cell shown
data_Np2Ga9Sn
_chemical_formula_sum 'Np2 Ga9 Sn1'
_symmetry_space_group_name_H-M 'P 4/m m m'
_symmetry_Int_Tables_number 123
_symmetry_space_group_name_Hall '-P 4 2'
_cell_length_a 4.267
_cell_length_b 4.267
_cell_length_c 13.165
_cell_angle_alpha 90.00
_cell_angle_beta 90.00
_cell_angle_gamma 90.00
loop_
_atom_site_label
_atom_site_type_symbol
_atom_site_fract_x
_atom_site_fract_y
_atom_site_fract_z
Np1 Np 0.000 0.000 0.165
Ga1 Ga 0.000 0.500 0.000
Ga2 Ga 0.000 0.500 0.327
Ga3 Ga 0.500 0.500 0.156
Ga4 Ga 0.500 0.500 0.500
Sn1 Sn 0.000 0.000 0.500

=====

# NpGaSn | Alexandria | PBE | relaxed
# Magnetization: 4.5 μB/cell
# Energy above the lowest structure with this stoichiometry: 82 meV/atom
# Formation energy from the elements: -18 meV/atom
# Density: 10259 kg/m³
# Energy: -20.03 eV for the cell shown
data_NpGaSn
_chemical_formula_sum 'Np1 Ga1 Sn1'
_symmetry_space_group_name_H-M 'P -6 m 2'
_symmetry_Int_Tables_number 187
_symmetry_space_group_name_Hall 'P -6 2'
_cell_length_a 4.9360
_cell_length_b 4.9360
_cell_length_c 3.2637
_cell_angle_alpha 90.00
_cell_angle_beta 90.00
_cell_angle_gamma 120.00
loop_
_atom_site_label
_atom_site_type_symbol
_atom_site_fract_x
_atom_site_fract_y
_atom_site_fract_z
Np1 Np 0.0000 0.0000 0.0000
Ga1 Ga 0.3333 0.6667 0.5000
Sn1 Sn 0.6667 0.3333 0.5000

=====

Repeat the first record exactly.
# Np4Ga12Sn | Alexandria | PBE | relaxed
# Magnetization: 33.8 μB/cell
# Formation energy from the elements: -134 meV/atom
# Density: 9303 kg/m³
# Energy: -188.72 eV for the cell shown
data_Np4Ga12Sn
_chemical_formula_sum 'Np8 Ga24 Sn2'
_symmetry_space_group_name_H-M 'I m -3 m'
_symmetry_Int_Tables_number 229
_symmetry_space_group_name_Hall '-I 4 2 3'
_cell_length_a 8.792
_cell_length_b 8.792
_cell_length_c 8.792
_cell_angle_alpha 90.00
_cell_angle_beta 90.00
_cell_angle_gamma 90.00
loop_
_atom_site_label
_atom_site_type_symbol
_atom_site_fract_x
_atom_site_fract_y
_atom_site_fract_z
Np1 Np 0.250 0.250 0.250
Ga1 Ga 0.000 0.000 0.316
Ga2 Ga 0.000 0.250 0.500
Sn1 Sn 0.000 0.000 0.000

=====

> The highest energy belongs to which entry?

NpGaSn